GGA-PBE CaNd2In3Te6, relaxed; total moment = 0.0 μB/f.u.; total energy = -4.161 eV per atom; volume = 34.70 Å³ per atom; N(E_F) = 5.40 states/eV/cell; symmetry = C2/m, No. 12
1.0
10.224 -2.252 0.000
10.224 2.252 0.000
-2.727 0.000 9.043
Ca Nd In Te
1 2 3 6
Cartesian
0.000 0.000 0.000
4.997 0.000 6.058
12.724 0.000 2.985
-1.363 0.000 4.521
6.407 0.000 1.503
11.314 0.000 7.540
3.106 0.000 0.840
1.909 0.000 5.171
8.053 0.000 6.818
9.669 0.000 2.225
15.812 0.000 3.872
14.615 0.000 8.203



GGA-PBE CaNdTm2In4, relaxed; total moment = 0.0 μB/f.u.; volume = 27.27 Å³ per atom; DFT formation energy = -0.44 eV/atom; N(E_F) = 4.79 states/eV/cell; symmetry = R-3m, No. 166
1.0
2.675 1.544 8.803
-2.675 1.544 8.803
0.000 -3.089 8.803
Ca Nd Tm In
1 1 2 4
Cartesian
0.000 0.000 0.000
0.000 0.000 13.204
0.000 0.000 6.640
0.000 0.000 19.769
0.000 0.000 3.286
0.000 0.000 9.887
0.000 0.000 16.522
0.000 0.000 23.123



GGA-PBE CaNdY2In4, relaxed; total moment = 0.0 μB/f.u.; volume = 27.72 Å³ per atom; DFT formation energy = -0.48 eV/atom; N(E_F) = 3.88 states/eV/cell; symmetry = R-3m, No. 166
1.0
2.690 1.553 8.847
-2.690 1.553 8.847
0.000 -3.106 8.847
Ca Nd Y In
1 1 2 4
Cartesian
0.000 0.000 0.000
0.000 0.000 13.271
0.000 0.000 6.685
0.000 0.000 19.857
0.000 0.000 3.312
0.000 0.000 9.945
0.000 0.000 16.598
0.000 0.000 23.230



GGA-PBE CaNdYIn, relaxed; total moment = 0.0 μB/f.u.; volume = 30.48 Å³ per atom; DFT formation energy = -0.18 eV/atom; N(E_F) = 3.19 states/eV/cell; symmetry = F-43m, No. 216
1.0
0.000 3.935 3.935
3.935 0.000 3.935
3.935 3.935 0.000
Ca Nd Y In
1 1 1 1
Cartesian
0.000 0.000 0.000
1.968 1.968 1.968
5.903 5.903 5.903
3.935 3.935 3.935